Entry A
Density functional theory data (PBE) for crystalline Be2Ni2As at its relaxed geometry.

Lattice parameters (Å, degrees): 6.2682 6.2682 2.7749 90.00 90.00 90.00
With the nearest neighbours (Å) after each atom.
Space group P4/mbm (No. 127)
Symmetry-distinct sites (fractional):
Be 0.1365 0.3635 0.0000 [4 per cell]  6 Ni 2.28-2.34, 1 Be 2.42
Ni 0.1512 0.6512 0.5000 [4 per cell]  6 Be 2.28-2.34, 2 As 2.38
As 0.0000 0.0000 0.5000 [2 per cell]  4 Ni 2.38

Computed properties:
Total magnetization, Bohr magnetons per cell: 0.0

---

Entry B
Density functional theory data (PBE) for crystalline Be2Ni2As at its relaxed geometry.

Lattice parameters (Å, degrees): 6.0523 6.0523 2.9280 90.00 90.00 90.00
With the nearest neighbours (Å) after each atom.
Space group P4/mbm (No. 127)
Symmetry-distinct sites (fractional):
Be 0.1256 0.3744 0.0000 [4 per cell]  1 Be 2.15, 6 Ni 2.26-2.37, 2 As 2.39
Ni 0.1569 0.6569 0.5000 [4 per cell]  6 Be 2.26-2.37
As 0.0000 0.0000 0.0000 [2 per cell]  4 Be 2.39

Computed properties:
Total magnetization, Bohr magnetons per cell: 0.0

---

The least stable of them is entry B.

---

Entry A
Density functional theory data (PBE) for crystalline BeNi3As at its relaxed geometry.

Lattice parameters (Å, degrees): 4.2740 4.2740 4.2740 90.00 90.00 90.00
With the nearest neighbours (Å) after each atom.
Space group Pm-3m (No. 221)
Symmetry-distinct sites (fractional):
Be 0.0000 0.0000 0.0000 [1 per cell]  12 Ni 3.02
Ni 0.0000 0.5000 0.5000 [3 per cell]  2 As 2.14
As 0.5000 0.5000 0.5000 [1 per cell]  6 Ni 2.14

Computed properties:
Total magnetization, Bohr magnetons per cell: 0.0

---

Entry B
Density functional theory data (PBE) for crystalline BeNi3As at its relaxed geometry.

Lattice parameters (Å, degrees): 3.9319 3.9319 3.9319 90.00 90.00 90.00
With the nearest neighbours (Å) after each atom.
Space group Pm-3m (No. 221)
Symmetry-distinct sites (fractional):
Be 0.0000 0.0000 0.0000 [1 per cell]  6 Ni 1.97
Ni 0.0000 0.0000 0.5000 [3 per cell]  2 Be 1.97
As 0.5000 0.5000 0.5000 [1 per cell]  12 Ni 2.78

Computed properties:
Total magnetization, Bohr magnetons per cell: 0.0

---

The least stable of them is entry A.